5
Lattice="-4.0580 2.4902 0.1546 -2.8820 -4.5827 -1.8326 -0.6745 -1.3791 4.5094" Properties=species:S:1:pos:R:3 comment="SrHfMgNi2, relaxed, DFT GGA-PBE" n_ef_per_ev_cell=4.08 e_tot_ev_per_cell=-20.1 vol_a3_per_atom=25.9 ef_ev_per_atom=0.947 pbc="T T T"
Mg -3.8073 -1.7358 1.4157
Hf 0.0000 0.0000 0.0000
Sr -1.4410 -2.2914 -0.9163
Ni -0.3373 -0.6896 2.2547
Ni -2.0290 1.2451 0.0773